# 1
# Cs2AuO

A relaxed structure of Cs2AuO (GGA-PBE, Alexandria).

- Distance to the lowest polymorph of the same formula: 0.0 meV/atom
- Formation energy from raw total energies: -0.39 eV per atom
- DFT total energy: -0.10584 Ha/atom
- Space group: No. 122
- Total magnetization: 0.2561 μB per atom

abc: 7.680 7.680 7.680
angles: 113.61 113.61 101.48
Element x y z (fractional)
Cs 0.046 0.125 0.421
Cs 0.375 0.954 0.079
Cs 0.704 0.625 0.579
Cs 0.875 0.296 0.921
Au 0.250 0.750 0.500
Au 0.500 0.500 0.000
O 0.000 0.000 0.000
O 0.750 0.250 0.500

=====

# 2
# Cs2AuO

A relaxed structure of Cs2AuO (GGA-PBE, Alexandria).

- Distance to the lowest polymorph of the same formula: 48.2 meV/atom
- Formation energy from raw total energies: -0.35 eV per atom
- DFT total energy: -0.10407 Ha/atom
- Space group: No. 166
- Total magnetization: 0.0917 μB per atom

abc: 10.492 10.492 10.492
angles: 22.45 22.45 22.45
Element x y z (fractional)
Cs 0.113 0.113 0.113
Cs 0.887 0.887 0.887
Au 0.000 0.000 0.000
O 0.500 0.500 0.500

=====

# 3
# Cs6Au3O

A relaxed structure of Cs6Au3O (GGA-PBE, Alexandria).

- Formation energy from raw total energies: -0.48 eV per atom
- DFT total energy: -0.09096 Ha/atom
- Space group: No. 36
- Total magnetization: 0.0000 μB per atom

abc: 11.334 11.334 8.650
angles: 90.00 90.00 102.96
Element x y z (fractional)
Cs 0.051 0.949 0.500
Cs 0.113 0.596 0.526
Cs 0.208 0.792 0.074
Cs 0.318 0.357 0.049
Cs 0.357 0.318 0.549
Cs 0.404 0.887 0.526
Cs 0.596 0.113 0.026
Cs 0.643 0.682 0.049
Cs 0.682 0.643 0.549
Cs 0.792 0.208 0.574
Cs 0.887 0.404 0.026
Cs 0.949 0.051 0.000
Au 0.081 0.283 0.328
Au 0.283 0.081 0.828
Au 0.397 0.603 0.769
Au 0.603 0.397 0.269
Au 0.717 0.919 0.328
Au 0.919 0.717 0.828
O 0.192 0.808 0.383
O 0.808 0.192 0.883

=====

# 4
# Cs7Au3O2

A relaxed structure of Cs7Au3O2 (GGA-PBE, Alexandria).

- Formation energy from raw total energies: -0.63 eV per atom
- DFT total energy: -0.10202 Ha/atom
- Space group: No. 65
- Total magnetization: 0.0000 μB per atom

abc: 14.588 14.588 5.845
angles: 90.00 90.00 156.16
Element x y z (fractional)
Cs 0.000 0.000 0.000
Cs 0.102 0.898 0.500
Cs 0.199 0.801 0.000
Cs 0.399 0.601 0.000
Cs 0.601 0.399 0.000
Cs 0.801 0.199 0.000
Cs 0.898 0.102 0.500
Au 0.311 0.689 0.500
Au 0.500 0.500 0.500
Au 0.689 0.311 0.500
O 0.105 0.895 0.000
O 0.895 0.105 0.000

=====

# 5
# Cs2AuO

A relaxed structure of Cs2AuO (GGA-PBE, Alexandria).

- Distance to the lowest polymorph of the same formula: 100.9 meV/atom
- Formation energy from raw total energies: -0.29 eV per atom
- DFT total energy: -0.10213 Ha/atom
- Space group: No. 225
- Total magnetization: 0.2500 μB per atom

abc: 5.842 5.842 5.842
angles: 60.00 60.00 60.00
Element x y z (fractional)
Cs 0.250 0.250 0.250
Cs 0.750 0.750 0.750
Au 0.000 0.000 0.000
O 0.500 0.500 0.500

=====

# 6
# CsAuO3

A relaxed structure of CsAuO3 (GGA-PBE, Alexandria).

- Formation energy from raw total energies: -0.08 eV per atom
- DFT total energy: -0.14256 Ha/atom
- Space group: No. 62
- Total magnetization: 0.0091 μB per atom

abc: 7.830 6.542 7.758
angles: 90.00 90.00 90.00
Element x y z (fractional)
Cs 0.000 0.000 0.000
Cs 0.000 0.500 0.000
Cs 0.500 0.000 0.500
Cs 0.500 0.500 0.500
Au 0.011 0.250 0.485
Au 0.489 0.750 0.985
Au 0.511 0.250 0.015
Au 0.989 0.750 0.515
O 0.116 0.004 0.611
O 0.116 0.496 0.611
O 0.192 0.250 0.303
O 0.308 0.750 0.803
O 0.384 0.504 0.111
O 0.384 0.996 0.111
O 0.616 0.004 0.889
O 0.616 0.496 0.889
O 0.692 0.250 0.197
O 0.808 0.750 0.697
O 0.884 0.504 0.389
O 0.884 0.996 0.389

=====

# 7
# CsAuO2

A relaxed structure of CsAuO2 (GGA-PBE, Alexandria).

- Formation energy from raw total energies: -0.53 eV per atom
- DFT total energy: -0.14841 Ha/atom
- Space group: No. 166
- Total magnetization: 0.5000 μB per atom

abc: 7.218 7.218 7.218
angles: 38.45 38.45 38.45
Element x y z (fractional)
Cs 0.000 0.000 0.000
Au 0.500 0.500 0.500
O 0.407 0.407 0.407
O 0.593 0.593 0.593

=====

# 8
# Cs3AuO2

A relaxed structure of Cs3AuO2 (GGA-PBE, Alexandria).

- Formation energy from raw total energies: -0.90 eV per atom
- DFT total energy: -0.12973 Ha/atom
- Space group: No. 72
- Total magnetization: 0.0000 μB per atom

abc: 8.727 8.727 8.727
angles: 134.15 75.36 123.79
Element x y z (fractional)
Cs 0.048 0.750 0.298
Cs 0.250 0.250 0.000
Cs 0.452 0.750 0.702
Cs 0.548 0.250 0.298
Cs 0.750 0.750 0.000
Cs 0.952 0.250 0.702
Au 0.000 0.500 0.500
Au 0.500 0.000 0.500
O 0.105 0.716 0.821
O 0.395 0.216 0.611
O 0.605 0.784 0.389
O 0.895 0.284 0.179

=====

# 9
# Cs5AuO2

A relaxed structure of Cs5AuO2 (GGA-PBE, Alexandria).

- Formation energy from raw total energies: -0.80 eV per atom
- DFT total energy: -0.10952 Ha/atom
- Space group: No. 63
- Total magnetization: 0.0062 μB per atom

abc: 7.426 7.426 14.842
angles: 90.00 90.00 129.65
Element x y z (fractional)
Cs 0.045 0.955 0.616
Cs 0.045 0.955 0.884
Cs 0.207 0.793 0.250
Cs 0.335 0.665 0.525
Cs 0.335 0.665 0.975
Cs 0.665 0.335 0.025
Cs 0.665 0.335 0.475
Cs 0.793 0.207 0.750
Cs 0.955 0.045 0.116
Cs 0.955 0.045 0.384
Au 0.487 0.513 0.250
Au 0.513 0.487 0.750
O 0.145 0.855 0.054
O 0.145 0.855 0.446
O 0.855 0.145 0.554
O 0.855 0.145 0.946

=====

# 10
# Cs12Au7O

A relaxed structure of Cs12Au7O (GGA-PBE, Alexandria).

- Formation energy from raw total energies: -0.37 eV per atom
- DFT total energy: -0.08365 Ha/atom
- Space group: No. 148
- Total magnetization: 0.0012 μB per atom

abc: 11.119 11.119 11.119
angles: 110.90 110.90 110.90
Element x y z (fractional)
Cs 0.028 0.292 0.163
Cs 0.163 0.028 0.292
Cs 0.200 0.392 0.696
Cs 0.292 0.163 0.028
Cs 0.304 0.800 0.608
Cs 0.392 0.696 0.200
Cs 0.608 0.304 0.800
Cs 0.696 0.200 0.392
Cs 0.708 0.837 0.972
Cs 0.800 0.608 0.304
Cs 0.837 0.972 0.708
Cs 0.972 0.708 0.837
Au 0.020 0.618 0.132
Au 0.132 0.020 0.618
Au 0.382 0.868 0.980
Au 0.500 0.500 0.500
Au 0.618 0.132 0.020
Au 0.868 0.980 0.382
Au 0.980 0.382 0.868
O 0.000 0.000 0.000

=====

# 11
# Cs7Au5O2

A relaxed structure of Cs7Au5O2 (GGA-PBE, Alexandria).

- Formation energy from raw total energies: -0.63 eV per atom
- DFT total energy: -0.10777 Ha/atom
- Space group: No. 71
- Total magnetization: 0.0001 μB per atom

abc: 10.593 10.593 10.593
angles: 146.15 124.76 66.38
Element x y z (fractional)
Cs 0.000 0.000 0.000
Cs 0.115 0.833 0.282
Cs 0.291 0.500 0.791
Cs 0.449 0.167 0.282
Cs 0.551 0.833 0.718
Cs 0.709 0.500 0.209
Cs 0.885 0.167 0.718
Au 0.143 0.643 0.500
Au 0.312 0.312 0.000
Au 0.500 0.000 0.500
Au 0.688 0.688 0.000
Au 0.857 0.357 0.500
O 0.292 0.000 0.292
O 0.708 0.000 0.708

=====

# 12
# Cs3AuO2

A relaxed structure of Cs3AuO2 (GGA-PBE, Alexandria).

- Formation energy from raw total energies: -1.00 eV per atom
- DFT total energy: -0.13330 Ha/atom
- Space group: No. 14
- Total magnetization: 0.0000 μB per atom

abc: 10.310 20.057 14.413
angles: 90.00 131.84 90.00
Element x y z (fractional)
Cs 0.046 0.090 0.073
Cs 0.046 0.410 0.573
Cs 0.080 0.089 0.578
Cs 0.080 0.411 0.078
Cs 0.161 0.250 0.287
Cs 0.161 0.250 0.787
Cs 0.216 0.596 0.283
Cs 0.216 0.904 0.783
Cs 0.251 0.073 0.926
Cs 0.251 0.427 0.426
Cs 0.258 0.586 0.794
Cs 0.258 0.914 0.294
Cs 0.340 0.745 0.006
Cs 0.340 0.755 0.506
Cs 0.409 0.231 0.641
Cs 0.409 0.269 0.141
Cs 0.435 0.564 0.136
Cs 0.435 0.936 0.636
Cs 0.565 0.064 0.364
Cs 0.565 0.436 0.864
Cs 0.591 0.731 0.859
Cs 0.591 0.769 0.359
Cs 0.660 0.245 0.494
Cs 0.660 0.255 0.994
Cs 0.742 0.086 0.706
Cs 0.742 0.414 0.206
Cs 0.749 0.573 0.574
Cs 0.749 0.927 0.074
Cs 0.784 0.096 0.217
Cs 0.784 0.404 0.717
Cs 0.839 0.750 0.213
Cs 0.839 0.750 0.713
Cs 0.920 0.589 0.922
Cs 0.920 0.911 0.422
Cs 0.954 0.590 0.427
Cs 0.954 0.910 0.927
Au 0.094 0.749 0.112
Au 0.094 0.751 0.612
Au 0.251 0.079 0.415
Au 0.251 0.421 0.915
Au 0.443 0.580 0.639
Au 0.443 0.920 0.139
Au 0.557 0.080 0.861
Au 0.557 0.420 0.361
Au 0.749 0.579 0.085
Au 0.749 0.921 0.585
Au 0.906 0.249 0.388
Au 0.906 0.251 0.888
O 0.070 0.180 0.917
O 0.070 0.320 0.417
O 0.081 0.007 0.376
O 0.081 0.493 0.876
O 0.258 0.676 0.141
O 0.258 0.824 0.641
O 0.280 0.509 0.614
O 0.280 0.991 0.114
O 0.394 0.153 0.829
O 0.394 0.347 0.329
O 0.426 0.151 0.460
O 0.426 0.349 0.960
O 0.574 0.651 0.040
O 0.574 0.849 0.540
O 0.606 0.653 0.671
O 0.606 0.847 0.171
O 0.720 0.009 0.886
O 0.720 0.491 0.386
O 0.742 0.176 0.359
O 0.742 0.324 0.859
O 0.919 0.507 0.124
O 0.919 0.993 0.624
O 0.930 0.680 0.583
O 0.930 0.820 0.083

=====

# 13
# Cs7Au4O

A relaxed structure of Cs7Au4O (GGA-PBE, Alexandria).

- Distance to the lowest polymorph of the same formula: 43.0 meV/atom
- Formation energy from raw total energies: -0.42 eV per atom
- DFT total energy: -0.08892 Ha/atom
- Space group: No. 12
- Total magnetization: 0.0000 μB per atom

abc: 9.902 9.902 13.635
angles: 126.60 126.60 35.23
Element x y z (fractional)
Cs 0.000 0.000 0.000
Cs 0.135 0.135 0.528
Cs 0.274 0.274 0.143
Cs 0.445 0.445 0.772
Cs 0.555 0.555 0.228
Cs 0.726 0.726 0.857
Cs 0.865 0.865 0.472
Au 0.096 0.096 0.793
Au 0.224 0.224 0.356
Au 0.776 0.776 0.644
Au 0.904 0.904 0.207
O 0.500 0.500 0.000

=====

# 14
# Cs6AuO

A relaxed structure of Cs6AuO (GGA-PBE, Alexandria).

- Distance to the lowest polymorph of the same formula: 0.0 meV/atom
- Formation energy from raw total energies: -0.46 eV per atom
- DFT total energy: -0.07815 Ha/atom
- Space group: No. 12
- Total magnetization: 0.0000 μB per atom

abc: 9.002 9.002 8.910
angles: 108.74 108.74 109.30
Element x y z (fractional)
Cs 0.002 0.722 0.716
Cs 0.274 0.274 0.982
Cs 0.278 0.998 0.284
Cs 0.722 0.002 0.716
Cs 0.726 0.726 0.018
Cs 0.998 0.278 0.284
Au 0.000 0.000 0.500
O 0.000 0.000 0.000

=====

# 15
# Cs6AuO2

A relaxed structure of Cs6AuO2 (GGA-PBE, Alexandria).

- Distance to the lowest polymorph of the same formula: 0.0 meV/atom
- Formation energy from raw total energies: -0.73 eV per atom
- DFT total energy: -0.10173 Ha/atom
- Space group: No. 146
- Total magnetization: 0.0817 μB per atom

abc: 9.398 9.398 9.398
angles: 49.27 49.27 49.27
Element x y z (fractional)
Cs 0.006 0.391 0.603
Cs 0.134 0.732 0.546
Cs 0.391 0.603 0.006
Cs 0.546 0.134 0.732
Cs 0.603 0.006 0.391
Cs 0.732 0.546 0.134
Au 0.210 0.210 0.210
O 0.403 0.403 0.403
O 0.734 0.734 0.734

=====

# 16
# Cs4AuO

A relaxed structure of Cs4AuO (GGA-PBE, Alexandria).

- Formation energy from raw total energies: -0.58 eV per atom
- DFT total energy: -0.09270 Ha/atom
- Space group: No. 36
- Total magnetization: 0.0000 μB per atom

abc: 11.929 11.929 8.753
angles: 90.00 90.00 150.74
Element x y z (fractional)
Cs 0.011 0.989 0.500
Cs 0.164 0.836 0.846
Cs 0.191 0.809 0.313
Cs 0.407 0.593 0.668
Cs 0.593 0.407 0.168
Cs 0.809 0.191 0.813
Cs 0.836 0.164 0.346
Cs 0.989 0.011 0.000
Au 0.320 0.680 0.051
Au 0.680 0.320 0.551
O 0.099 0.901 0.107
O 0.901 0.099 0.607